(1)
The following is a PBE calculation of a geometry-optimized Hg2As2Pd structure, from Alexandria.

```
Hg2As2Pd
1.0
6.4101 0.0000 0.0000
0.0000 6.4101 0.0000
0.0000 0.0000 5.6603
Hg As Pd
4 4 2
Cartesian
1.0914 2.1137 0.0000 Hg
2.1137 5.3187 0.0000 Hg
4.2964 1.0914 0.0000 Hg
5.3187 4.2964 0.0000 Hg
0.8995 2.3055 2.8301 As
2.3055 5.5105 2.8301 As
4.1046 0.8995 2.8301 As
5.5105 4.1046 2.8301 As
0.0000 0.0000 2.8301 Pd
3.2050 3.2050 2.8301 Pd
```

Output
Energy of formation from the pure elements, eV/f.u.: -0.3


(2)
The following is a PBE calculation of a geometry-optimized CsGa3Co structure, from Alexandria.

```
CsGa3Co
1.0
4.8113 0.0000 0.0000
0.0000 4.8113 0.0000
0.0000 0.0000 4.8113
Cs Ga Co
1 3 1
Cartesian
0.0000 0.0000 0.0000 Cs
0.0000 2.4057 2.4057 Ga
2.4057 0.0000 2.4057 Ga
2.4057 2.4057 0.0000 Ga
2.4057 2.4057 2.4057 Co
```

Output
Energy of formation from the pure elements, eV/f.u.: -0.2


(3)
The following is a PBE calculation of a geometry-optimized Zn2Ag2Ge structure, from Alexandria.

```
Zn2Ag2Ge
1.0
7.8492 0.0000 0.0000
0.0000 7.8492 0.0000
0.0000 0.0000 2.8621
Zn Ag Ge
4 4 2
Cartesian
1.3357 2.5889 0.0000 Zn
2.5889 6.5135 0.0000 Zn
5.2603 1.3357 0.0000 Zn
6.5135 5.2603 0.0000 Zn
1.0127 4.9373 1.4311 Ag
2.9119 1.0127 1.4311 Ag
4.9373 6.8365 1.4311 Ag
6.8365 2.9119 1.4311 Ag
0.0000 0.0000 1.4311 Ge
3.9246 3.9246 1.4311 Ge
```

Output
Energy of formation from the pure elements, eV/f.u.: 0.5


(4)
The following is a PBE calculation of a geometry-optimized YB2 structure, from Alexandria.

```
YB2
1.0
3.2958 0.0000 0.0000
-1.6479 2.8543 0.0000
0.0000 0.0000 3.8723
Y B
1 2
Cartesian
0.0000 0.0000 0.0000 Y
0.0000 1.9029 1.9362 B
1.6479 0.9514 1.9362 B
```

Output
Energy of formation from the pure elements, eV/f.u.: -1.7


(5)
The following is a PBE calculation of a geometry-optimized Li2Mg3Zn5 structure, from Alexandria.

```
Li2Mg3Zn5
1.0
-4.9853 6.9472 2.6304
4.9853 -6.9472 2.6304
4.9853 6.9472 -2.6304
Li Mg Zn
4 6 10
Cartesian
2.3575 0.7848 0.0000 Li
2.3575 -0.7848 2.6304 Li
2.6278 7.7321 0.0000 Li
2.6278 6.1624 2.6304 Li
7.2467 2.4839 0.0000 Mg
0.0000 0.0000 1.3152 Mg
2.2614 4.4633 0.0000 Mg
2.7239 2.4839 2.6304 Mg
0.0000 0.0000 3.9456 Mg
-2.2614 4.4633 2.6304 Mg
4.9853 4.3342 -1.3152 Zn
4.3308 2.2101 0.0000 Zn
4.9853 0.0000 1.3152 Zn
4.3308 -2.2101 2.6304 Zn
0.0000 2.6131 1.3152 Zn
4.9853 4.3342 1.3152 Zn
0.6544 9.1574 0.0000 Zn
0.0000 6.9472 1.3152 Zn
0.6544 4.7371 2.6304 Zn
0.0000 2.6131 3.9456 Zn
```

Output
Energy of formation from the pure elements, eV/f.u.: 0.2


(6)
The following is a PBE calculation of a geometry-optimized Ac8Si3GeTe4 structure, from Alexandria.

```
Ac8Si3GeTe4
1.0
4.6509 2.6852 7.7978
-4.6509 2.6852 7.7978
0.0000 -5.3704 7.7978
Ac Si Ge Te
8 3 1 4
Cartesian
-2.3323 -1.3466 13.4339 Ac
0.0000 0.0000 5.6307 Ac
0.0000 -2.6931 9.9595 Ac
-2.3323 1.3466 9.9595 Ac
2.3323 -1.3466 13.4339 Ac
0.0000 2.6931 13.4339 Ac
0.0000 0.0000 17.7627 Ac
2.3323 1.3466 9.9595 Ac
-4.6509 0.0000 11.6967 Si
-2.3254 1.3426 3.8989 Si
2.3254 1.3426 3.8989 Si
0.0000 0.0000 11.6967 Ge
0.0000 0.0000 0.0000 Te
-2.3254 -1.3426 7.7978 Te
-2.3254 1.3426 15.5956 Te
0.0000 2.6852 7.7978 Te
```

Output
Raw formation energy, eV/atom: -1.12


(7)
The following is a PBE calculation of a geometry-optimized Li3AlGe structure, from Alexandria.

```
Li3AlGe
1.0
4.7805 0.0000 0.0000
0.0000 4.7805 0.0000
0.0000 0.0000 4.7805
Li Al Ge
3 1 1
Cartesian
0.0000 0.0000 2.3902 Li
0.0000 2.3902 0.0000 Li
2.3902 0.0000 0.0000 Li
2.3902 2.3902 2.3902 Al
0.0000 0.0000 0.0000 Ge
```

Output
Energy of formation from the pure elements, eV/f.u.: 1.0


(8)
The following is a PBE calculation of a geometry-optimized EuZn4Au structure, from Alexandria.

```
EuZn4Au
1.0
0.0000 3.8007 3.8007
3.8007 0.0000 3.8007
3.8007 3.8007 0.0000
Eu Zn Au
1 4 1
Cartesian
0.0000 0.0000 0.0000 Eu
4.7442 2.8572 2.8572 Zn
2.8572 4.7442 2.8572 Zn
2.8572 2.8572 4.7442 Zn
4.7442 4.7442 4.7442 Zn
1.9004 1.9004 1.9004 Au
```

Output
Energy of formation from the pure elements, eV/f.u.: -1.4


(9)
The following is a PBE calculation of a geometry-optimized Cd2SnGeAs4 structure, from Alexandria.

```
Cd2SnGeAs4
1.0
-2.9948 2.9948 6.2020
2.9948 -2.9948 6.2020
2.9948 2.9948 -6.2020
Cd Sn Ge As
2 1 1 4
Cartesian
2.9948 0.0000 3.1010 Cd
0.0000 2.9948 3.1010 Cd
0.0000 0.0000 0.0000 Sn
0.0000 0.0000 6.2020 Ge
1.5817 1.5817 -1.5069 As
1.4130 -1.4130 7.7089 As
1.4130 1.4130 4.6951 As
-1.4130 1.4130 7.7089 As
```

Output
Energy of formation from the pure elements, eV/f.u.: -0.6


(10)
The following is a PBE calculation of a geometry-optimized ZrSnI2O structure, from Alexandria.

```
ZrSnI2O
1.0
5.9679 0.0000 0.0000
0.0000 5.9679 0.0000
0.0000 0.0000 4.0184
Zr Sn I O
1 1 2 1
Cartesian
0.0000 0.0000 0.0000 Zr
2.9839 2.9839 2.0092 Sn
0.0000 2.9839 0.0000 I
2.9839 0.0000 0.0000 I
0.0000 0.0000 2.0092 O
```

Output
Raw formation energy, eV/atom: -0.90


(11)
The following is a PBE calculation of a geometry-optimized Sc4Pt structure, from Alexandria.

```
Sc4Pt
1.0
-3.9924 3.9924 1.7084
3.9924 -3.9924 1.7084
3.9924 3.9924 -1.7084
Sc Pt
4 1
Cartesian
5.8418 0.6684 0.0000 Sc
0.6684 2.1430 0.0000 Sc
3.3240 1.8494 1.7084 Sc
-1.8494 3.3240 1.7084 Sc
0.0000 0.0000 1.7084 Pt
```

Output
Energy of formation from the pure elements, eV/f.u.: -2.6


(12)
The following is a PBE calculation of a geometry-optimized Cs2Sr2BiO6 structure, from Alexandria.

```
Cs2Sr2BiO6
1.0
3.2080 -5.4840 0.0000
3.2080 5.4840 0.0000
-2.1526 0.0000 7.0069
Cs Sr Bi O
2 2 1 6
Cartesian
3.2080 3.6417 0.0000 Cs
3.2080 -3.6417 0.0000 Cs
2.1316 1.7743 3.5035 Sr
2.1316 -1.7743 3.5035 Sr
-1.0763 0.0000 3.5035 Bi
-0.1778 1.6199 4.6582 O
0.7415 0.0000 2.3264 O
-0.1778 -1.6199 4.6582 O
4.4411 1.6199 2.3488 O
3.5218 0.0000 4.6806 O
4.4411 -1.6199 2.3488 O
```

Output
Raw formation energy, eV/atom: -1.66


(13)
The following is a PBE calculation of a geometry-optimized ErGaO3 structure, from Alexandria.

```
ErGaO3
1.0
6.0654 0.0000 0.0000
-3.0327 5.2528 0.0000
0.0000 0.0000 11.6861
Er Ga O
6 6 18
Cartesian
0.0000 0.0000 0.0000 Er
0.0000 0.0000 5.8430 Er
0.0000 3.5019 0.4828 Er
0.0000 3.5019 6.3258 Er
3.0327 1.7509 0.4828 Er
3.0327 1.7509 6.3258 Er
-1.0127 1.7541 3.2054 Ga
-2.0200 3.4987 9.0484 Ga
2.0255 0.0000 3.2054 Ga
1.0127 1.7541 9.0484 Ga
4.0400 0.0000 9.0484 Ga
2.0200 3.4987 3.2054 Ga
0.0000 0.0000 3.4821 O
0.0000 0.0000 9.3252 O
-0.9294 1.6097 1.2935 O
-1.0920 1.8913 5.1023 O
-1.9408 3.3615 10.9453 O
-2.1033 3.6431 7.1366 O
1.8588 0.0000 1.2935 O
0.9294 1.6097 7.1366 O
0.0000 3.5019 2.9705 O
0.0000 3.5019 8.8135 O
2.1839 0.0000 5.1023 O
1.0920 1.8913 10.9453 O
3.8815 0.0000 10.9453 O
1.9408 3.3615 5.1023 O
3.0327 1.7509 2.9705 O
3.0327 1.7509 8.8135 O
4.2067 0.0000 7.1366 O
2.1033 3.6431 1.2935 O
```

Output
Raw formation energy, eV/atom: -2.77


(14)
The following is a PBE calculation of a geometry-optimized Fe6SiNi2 structure, from Alexandria.

```
Fe6SiNi2
1.0
2.7126 -3.7245 0.0000
2.7126 3.7245 0.0000
-0.9258 0.0000 6.1243
Fe Si Ni
6 1 2
Cartesian
0.5145 1.5260 4.1485 Fe
0.2932 0.0000 1.9762 Fe
0.5145 -1.5260 4.1485 Fe
3.9848 1.5260 1.9757 Fe
4.2061 0.0000 4.1481 Fe
3.9848 -1.5260 1.9757 Fe
2.2496 0.0000 3.0621 Si
2.7126 2.3748 0.0000 Ni
2.7126 -2.3748 0.0000 Ni
```

Output
Raw formation energy, eV/atom: 0.35


(15)
The following is a PBE calculation of a geometry-optimized MnVOs structure, from Alexandria.

```
MnVOs
1.0
4.3127 0.0000 0.0000
-2.1564 3.7349 0.0000
0.0000 0.0000 5.0132
Mn V Os
2 2 2
Cartesian
0.0000 0.0000 0.0000 Mn
0.0000 0.0000 2.5066 Mn
0.0000 2.4900 1.2533 V
2.1564 1.2450 3.7599 V
0.0000 2.4900 3.7599 Os
2.1564 1.2450 1.2533 Os
```

Output
Energy of formation from the pure elements, eV/f.u.: 0.2


(16)
The following is a PBE calculation of a geometry-optimized Pm4Pr2Er5 structure, from Alexandria.

```
Pm4Pr2Er5
1.0
5.6065 -3.7291 0.0000
5.6065 3.7291 0.0000
-2.7963 0.0000 8.8534
Pm Pr Er
4 2 5
Cartesian
1.6286 0.0000 1.1242 Pm
0.6234 0.0000 4.4035 Pm
7.7932 0.0000 4.4499 Pm
6.7881 0.0000 7.7292 Pm
1.5442 0.0000 7.7182 Pr
6.8725 0.0000 1.1352 Pr
4.2433 2.0969 1.9411 Er
4.1733 2.0969 6.9123 Er
4.2083 0.0000 4.4267 Er
4.2433 -2.0969 1.9411 Er
4.1733 -2.0969 6.9123 Er
```

Output
Energy of formation from the pure elements, eV/f.u.: 1.3


(17)
The following is a PBE calculation of a geometry-optimized AcAl2F8 structure, from Alexandria.

```
AcAl2F8
1.0
3.2463 -5.2787 0.0000
3.2463 5.2787 0.0000
-0.5759 0.0000 3.8258
Ac Al F
1 2 8
Cartesian
0.0000 0.0000 0.0000 Ac
2.9583 1.5623 1.9129 Al
2.9583 -1.5623 1.9129 Al
1.0350 1.3324 2.1311 F
3.2463 2.3983 0.0000 F
1.0350 -1.3324 2.1311 F
2.5062 0.0000 0.8464 F
3.4105 0.0000 2.9794 F
4.8817 1.3324 1.6946 F
3.2463 -2.3983 0.0000 F
4.8817 -1.3324 1.6946 F
```

Output
Raw formation energy, eV/atom: -3.20


(18)
The following is a PBE calculation of a geometry-optimized La2NdCd structure, from Alexandria.

```
La2NdCd
1.0
1.8671 1.0779 11.3062
-1.8671 1.0779 11.3062
0.0000 -2.1559 11.3062
La Nd Cd
2 1 1
Cartesian
0.0000 0.0000 0.0000 La
0.0000 0.0000 6.0456 La
0.0000 0.0000 25.6539 Nd
0.0000 0.0000 19.9780 Cd
```

Output
Energy of formation from the pure elements, eV/f.u.: -0.2


(19)
The following is a PBE calculation of a geometry-optimized Ca2In6CuPt structure, from Alexandria.

```
Ca2In6CuPt
1.0
0.0000 5.1743 5.1743
5.1743 0.0000 5.1743
5.1743 5.1743 0.0000
Ca In Cu Pt
2 6 1 1
Cartesian
2.5871 2.5871 2.5871 Ca
7.7614 7.7614 7.7614 Ca
5.1743 5.1743 2.5246 In
5.1743 2.5246 5.1743 In
7.8240 5.1743 5.1743 In
2.5246 5.1743 5.1743 In
5.1743 7.8240 5.1743 In
5.1743 5.1743 7.8240 In
0.0000 0.0000 0.0000 Cu
5.1743 5.1743 5.1743 Pt
```

Output
Energy of formation from the pure elements, eV/f.u.: -1.5


(20)
The following is a PBE calculation of a geometry-optimized Cs3K3Rb2 structure, from Alexandria.

```
Cs3K3Rb2
1.0
12.0442 -3.9978 0.0000
12.0442 3.9978 0.0000
-2.6258 0.0000 7.5778
Cs K Rb
3 3 2
Cartesian
0.0000 0.0000 0.0000 Cs
1.4607 0.0000 4.7592 Cs
20.0019 0.0000 2.8186 Cs
6.7675 0.0000 6.6343 K
10.7313 0.0000 3.7889 K
14.6951 0.0000 0.9435 K
5.4378 0.0000 1.9024 Rb
16.0247 0.0000 5.6754 Rb
```

Output
Energy of formation from the pure elements, eV/f.u.: 0.1